Density functional theory data (GGA-PBE) for crystalline K2PdF4 at its relaxed geometry.

Results
- Polymorph energy (0 for the lowest one): 0.070 eV per atom
- Formation energy without anion corrections: -2.11 eV per atom
- DOS at the Fermi energy: 0.991 states/eV/cell
- Calculated total energy: -4.23 eV/atom

Cell lengths 4.360, 4.360, 13.126 Å; angles 90.00, 90.00, 90.00 degrees
Space group I4/mmm (No. 139)
Asymmetric unit:
K1 0.000 0.000 0.141 [4 per cell]
Pd1 0.000 0.000 0.500 [2 per cell]
F1 0.000 0.000 0.338 [4 per cell]
F2 0.000 0.500 0.000 [4 per cell]



Density functional theory data (GGA-PBE) for crystalline K2Pd2F7 at its relaxed geometry.

Results
- Polymorph energy (0 for the lowest one): 0.009 eV per atom
- Formation energy without anion corrections: -1.84 eV per atom
- DOS at the Fermi energy: 13.813 states/eV/cell
- Calculated total energy: -4.17 eV/atom

Cell lengths 4.307, 13.592, 6.744 Å; angles 90.00, 91.16, 90.00 degrees
Space group P2_1/c (No. 14)
Asymmetric unit:
K1 0.173 0.133 0.458 [4 per cell]
Pd1 0.361 0.589 0.560 [4 per cell]
F1 0.000 0.000 0.000 [2 per cell]
F2 0.287 0.176 0.873 [4 per cell]
F3 0.331 0.554 0.842 [4 per cell]
F4 0.349 0.638 0.286 [4 per cell]



Density functional theory data (GGA-PBE) for crystalline KPdF at its relaxed geometry.

Results
- Polymorph energy (0 for the lowest one): 0.147 eV per atom
- Formation energy without anion corrections: -1.27 eV per atom
- Calculated total energy: -3.99 eV/atom

Cell lengths 9.848, 3.516, 6.992 Å; angles 90.00, 90.00, 90.00 degrees
Space group Pnma (No. 62)
Asymmetric unit:
K1 0.173 0.250 0.094 [4 per cell]
Pd1 0.036 0.250 0.618 [4 per cell]
F1 0.102 0.750 0.825 [4 per cell]



Density functional theory data (GGA-PBE) for crystalline KPdF at its relaxed geometry.

Results
- Polymorph energy (0 for the lowest one): 0.001 eV per atom
- Formation energy without anion corrections: -1.41 eV per atom
- DOS at the Fermi energy: 0.296 states/eV/cell
- Calculated total energy: -4.13 eV/atom

Cell lengths 3.336, 3.548, 10.343 Å; angles 90.00, 99.03, 90.00 degrees
Space group Pm (No. 6)
Asymmetric unit:
K1 0.000 0.000 0.000 [1 per cell]
K2 0.160 0.500 0.320 [1 per cell]
Pd1 0.339 0.500 0.691 [1 per cell]
Pd2 0.794 0.000 0.599 [1 per cell]
F1 0.459 0.500 0.915 [1 per cell]
F2 0.612 0.000 0.221 [1 per cell]